DFT (PBEsol) results for ScCr2Os after structural relaxation.

a = 4.9679 Å, b = 8.4514 Å, c = 2.6452 Å
α = 90.00°, β = 90.00°, γ = 90.00°
Closest atoms and distances in Å follow each position.
Space group Cmmm (No. 65)
Asymmetric unit:
1 Sc 0.0000 0.0000 0.0000 [2 per cell]  2 Os 2.48, 2 Sc 2.65
2 Cr 0.2500 0.2500 0.5000 [4 per cell]  4 Cr 2.48-2.65
3 Os 0.0000 0.5000 0.0000 [2 per cell]  2 Sc 2.48, 2 Os 2.65

Values from the calculation:
- DFT formation energy (meV/atom) = 385
- DOS at the Fermi energy (states/eV/f.u.) = 4.6
- energy above the lowest structure with this stoichiometry (meV per atom) = 193

DFT (PBEsol) results for ScCr2Os after structural relaxation.

a = 2.7925 Å, b = 2.7925 Å, c = 24.8970 Å
α = 90.00°, β = 90.00°, γ = 120.00°
Closest atoms and distances in Å follow each position.
Space group R3m (No. 160, hexagonal axes)
Asymmetric unit:
1 Sc 0.0000 0.0000 0.0000 [3 per cell]  3 Cr 2.79, 6 Sc 2.79, 3 Os 2.88
2 Cr 0.0000 0.0000 0.4907 [3 per cell]  3 Cr 2.31, 3 Os 2.57
3 Cr 0.0000 0.0000 0.7579 [3 per cell]  3 Cr 2.31
4 Os 0.0000 0.0000 0.2376 [3 per cell]  3 Cr 2.57, 6 Os 2.79

Values from the calculation:
- DFT formation energy (meV/atom) = 333
- DOS at the Fermi energy (states/eV/f.u.) = 3.6
- energy above the lowest structure with this stoichiometry (meV per atom) = 141

DFT (PBEsol) results for ScCrOs2 after structural relaxation.

a = 2.9383 Å, b = 4.5097 Å, c = 8.7358 Å
α = 90.00°, β = 90.00°, γ = 90.00°
Closest atoms and distances in Å follow each position.
Space group Immm (No. 71)
Asymmetric unit:
1 Sc 0.0000 0.0000 0.0000 [2 per cell]  4 Cr 2.69, 8 Os 2.81-2.99, 2 Sc 2.94
2 Cr 0.0000 0.0000 0.5000 [2 per cell]  4 Os 2.46, 4 Sc 2.69
3 Os 0.0000 0.5000 0.2252 [4 per cell]  2 Cr 2.46, 4 Os 2.73

Values from the calculation:
- DFT formation energy (meV/atom) = 65
- DOS at the Fermi energy (states/eV/f.u.) = 4.4
- energy above the lowest structure with this stoichiometry (meV per atom) = 0

DFT (PBEsol) results for ScCrOs2 after structural relaxation.

a = 2.7770 Å, b = 4.0667 Å, c = 5.3401 Å
α = 90.00°, β = 104.12°, γ = 90.00°
Closest atoms and distances in Å follow each position.
Space group P2/m (No. 10)
Asymmetric unit:
1 Sc 0.0000 0.0000 0.0000 [1 per cell]  2 Cr 2.69, 2 Sc 2.78, 8 Os 2.79-2.91
2 Cr 0.5000 0.0000 0.5000 [1 per cell]  4 Os 2.47, 2 Sc 2.69
3 Os 0.3254 0.5000 0.7237 [2 per cell]  2 Cr 2.47, 1 Os 2.62

Values from the calculation:
- DFT formation energy (meV/atom) = 85
- DOS at the Fermi energy (states/eV/f.u.) = 3.7
- energy above the lowest structure with this stoichiometry (meV per atom) = 20

DFT (PBEsol) results for CrOs3Se after structural relaxation.

a = 4.4177 Å, b = 4.4177 Å, c = 4.4177 Å
α = 90.00°, β = 90.00°, γ = 90.00°
Closest atoms and distances in Å follow each position.
Space group Pm-3m (No. 221)
Asymmetric unit:
1 Cr 0.0000 0.0000 0.0000 [1 per cell]  6 Os 2.21
2 Os 0.0000 0.0000 0.5000 [3 per cell]  2 Cr 2.21
3 Se 0.5000 0.5000 0.5000 [1 per cell]  12 Os 3.12

Values from the calculation:
- DOS at the Fermi energy (states/eV/f.u.) = 7.6
- formation energy without anion corrections (eV/atom) = 2.003

DFT (PBEsol) results for Cr2OsSe after structural relaxation.

a = 3.8695 Å, b = 3.8695 Å, c = 3.5861 Å
α = 90.00°, β = 90.00°, γ = 90.00°
Closest atoms and distances in Å follow each position.
Space group P4/mmm (No. 123)
Asymmetric unit:
1 Cr 0.0000 0.5000 0.0000 [2 per cell]  4 Se 2.64, 4 Os 2.64, 4 Cr 2.74
2 Os 0.0000 0.0000 0.5000 [1 per cell]  8 Cr 2.64, 4 Se 2.74
3 Se 0.5000 0.5000 0.5000 [1 per cell]  8 Cr 2.64, 4 Os 2.74

Values from the calculation:
- DOS at the Fermi energy (states/eV/f.u.) = 4.8
- formation energy without anion corrections (eV/atom) = 0.543

DFT (PBEsol) results for Cr3OsSe after structural relaxation.

a = 4.2019 Å, b = 4.2019 Å, c = 4.2019 Å
α = 90.00°, β = 90.00°, γ = 90.00°
Closest atoms and distances in Å follow each position.
Space group Pm-3m (No. 221)
Asymmetric unit:
1 Cr 0.0000 0.0000 0.5000 [3 per cell]  2 Se 2.10
2 Os 0.5000 0.5000 0.5000 [1 per cell]  12 Cr 2.97
3 Se 0.0000 0.0000 0.0000 [1 per cell]  6 Cr 2.10

Values from the calculation:
- DOS at the Fermi energy (states/eV/f.u.) = 6.3
- formation energy without anion corrections (eV/atom) = 1.373

DFT (PBEsol) results for CrOsSe after structural relaxation.

a = 2.8790 Å, b = 4.5882 Å, c = 13.6706 Å
α = 90.00°, β = 90.00°, γ = 90.00°
Closest atoms and distances in Å follow each position.
Space group Fmm2 (No. 42)
Asymmetric unit:
1 Cr 0.0000 0.0000 0.0000 [4 per cell]  2 Os 2.41, 2 Se 2.50
2 Os 0.0000 0.0000 0.6413 [4 per cell]  2 Cr 2.41
3 Se 0.0000 0.0000 0.3505 [4 per cell]  2 Cr 2.50, 4 Se 2.71

Values from the calculation:
- DOS at the Fermi energy (states/eV/f.u.) = 3.5
- formation energy without anion corrections (eV/atom) = 0.629